(1)
# PBE BaCaSc2, optimized geometry
data_BaCaSc2
_chemical_formula_sum 'Ba2 Ca2 Sc4'
_symmetry_space_group_name_H-M 'I 4/m m m'
_symmetry_Int_Tables_number 139
_symmetry_space_group_name_Hall '-I 4 2'
_cell_length_a 5.161
_cell_length_b 5.161
_cell_length_c 10.504
_cell_angle_alpha 90.00
_cell_angle_beta 90.00
_cell_angle_gamma 90.00
loop_
_atom_site_label
_atom_site_fract_x
_atom_site_fract_y
_atom_site_fract_z
Ba1 0.000 0.000 0.000
Ca1 0.000 0.000 0.500
Sc1 0.000 0.500 0.250
# N(E_F) (states/eV/f.u.): 7.08
# Energy above the most stable polymorph in this dataset (meV/atom): 199.9

(2)
# PBE Nb12Mo3W5, optimized geometry
data_Nb12Mo3W5
_chemical_formula_sum 'Nb96 Mo24 W40'
_symmetry_space_group_name_H-M 'I a -3 d'
_symmetry_Int_Tables_number 230
_symmetry_space_group_name_Hall '-I 4bd 2c 3'
_cell_length_a 15.213
_cell_length_b 15.213
_cell_length_c 15.213
_cell_angle_alpha 90.00
_cell_angle_beta 90.00
_cell_angle_gamma 90.00
loop_
_atom_site_label
_atom_site_fract_x
_atom_site_fract_y
_atom_site_fract_z
Nb1 0.021 0.083 0.646
Mo1 0.000 0.250 0.125
W1 0.000 0.000 0.000
W2 0.000 0.250 0.375
# Total energy (eV/atom): -9.426
# N(E_F) (states/eV/f.u.): 28.93

(3)
# PBE ZnCdSn2H, optimized geometry
data_ZnCdSn2H
_chemical_formula_sum 'Zn1 Cd1 Sn2 H1'
_symmetry_space_group_name_H-M 'P 4/m m m'
_symmetry_Int_Tables_number 123
_symmetry_space_group_name_Hall '-P 4 2'
_cell_length_a 5.582
_cell_length_b 5.582
_cell_length_c 3.325
_cell_angle_alpha 90.00
_cell_angle_beta 90.00
_cell_angle_gamma 90.00
loop_
_atom_site_label
_atom_site_fract_x
_atom_site_fract_y
_atom_site_fract_z
Zn1 0.000 0.000 0.000
Cd1 0.500 0.500 0.500
Sn1 0.000 0.500 0.000
H1 0.000 0.000 0.500
# Total energy (eV/atom): -2.534
# N(E_F) (states/eV/f.u.): 1.39